A relaxed Lu2Hf crystal, computed with PBE-GGA.

Summary:
The value obtained for the total magnetization is 0.0 μB per cell. The calculation puts the formation energy from the elements at 0.091 eV/atom.

Structure (POSCAR):
```
Lu2Hf
1.0
3.332 0.000 0.000
0.000 3.332 0.000
-1.666 -1.666 7.199
Lu Hf
2 1
Direct
0.656 0.656 0.311
0.344 0.344 0.689
0.000 0.000 0.000
```